{"formula": "In2BiTe", "functional": "PBE-GGA", "state": "optimized geometry", "de_polymorph_mev_per_atom": 40, "formation_energy_uncorrected_ev_per_atom": -0.0676, "magnetic_moment_mub_per_atom": 0.00, "mass_density_g_cm3": 5.63, "cell": [[-2.030, 3.837, -2.346], [-6.327, -2.497, 1.380], [-0.161, 5.021, 8.358]], "species": ["In", "In", "In", "In", "Bi", "Bi", "Te", "Te"], "fractional_positions": [[0.701, 0.620, 0.244], [0.701, 0.599, 0.728], [0.201, 0.099, 0.488], [0.201, 0.120, 0.972], [0.201, 0.840, 0.734], [0.700, 0.341, 0.482], [0.201, 0.874, 0.227], [0.701, 0.374, 0.989]]}



{"formula": "In2BiTe", "functional": "PBE-GGA", "state": "optimized geometry", "de_polymorph_mev_per_atom": 0, "formation_energy_uncorrected_ev_per_atom": -0.1071, "magnetic_moment_mub_per_atom": 0.00, "mass_density_g_cm3": 7.55, "cell": [[-2.346, 3.507, -1.188], [-3.408, 1.285, 2.438], [2.617, 5.993, 4.440]], "species": ["Te", "Bi", "In", "In"], "fractional_positions": [[0.000, 0.000, 0.000], [0.500, 0.500, 0.500], [0.250, 0.250, 0.250], [0.750, 0.750, 0.750]]}



{"formula": "In2BiTe2", "functional": "PBE-GGA", "state": "optimized geometry", "de_polymorph_mev_per_atom": 0, "formation_energy_uncorrected_ev_per_atom": -0.0665, "magnetic_moment_mub_per_atom": 0.00, "mass_density_g_cm3": 7.02, "cell": [[8.666, 0.000, 0.000], [0.000, 8.666, 0.000], [0.000, 0.000, 4.371]], "species": ["Te", "Te", "Te", "Te", "Bi", "Bi", "In", "In", "In", "In"], "fractional_positions": [[0.326, 0.826, 0.000], [0.826, 0.674, 0.000], [0.674, 0.174, 0.000], [0.174, 0.326, 0.000], [0.000, 0.000, 0.000], [0.500, 0.500, 0.000], [0.135, 0.635, 0.500], [0.635, 0.865, 0.500], [0.865, 0.365, 0.500], [0.365, 0.135, 0.500]]}